[1]
Compound: Hg3H2I8
Source: the Alexandria database
Functional: PBE
Structure: optimized geometry

a = 13.2499 Å, b = 8.1749 Å, c = 21.1838 Å
α = 90.06°, β = 90.00°, γ = 144.14°
With the nearest neighbours (Å) after each atom.
Atoms (fractional coordinates):
Hg: 0.8745 0.0000 0.2500  2 I 2.66
Hg: 0.1255 0.0000 0.7500  2 I 2.66
Hg: 0.9590 0.4307 0.5928  2 I 2.67-2.71
Hg: 0.5282 0.5693 0.9072  2 I 2.67-2.71
Hg: 0.0410 0.5693 0.4072  2 I 2.67-2.71
Hg: 0.4718 0.4307 0.0928  2 I 2.67-2.71
H: 0.9732 0.4308 0.8892  1 I 1.66
H: 0.5424 0.5692 0.6108  1 I 1.66
H: 0.0268 0.5692 0.1108  1 I 1.66
H: 0.4576 0.4308 0.3892  1 I 1.66
I: 0.4412 0.6712 0.0260  1 Hg 2.71
I: 0.7700 0.3288 0.4740  1 Hg 2.71
I: 0.5588 0.3288 0.9740  1 Hg 2.71
I: 0.2300 0.6712 0.5260  1 Hg 2.71
I: 0.5299 0.3215 0.1940  1 Hg 2.67
I: 0.2084 0.6785 0.3060  1 Hg 2.67
I: 0.4701 0.6785 0.8060  1 Hg 2.67
I: 0.7916 0.3215 0.6940  1 Hg 2.67
I: 0.9724 0.1900 0.1320  1 H 2.59, 1 Hg 2.66
I: 0.7824 0.8100 0.3680  1 H 2.59, 1 Hg 2.66
I: 0.9680 0.2285 0.9104  1 H 1.66
I: 0.7395 0.7715 0.5896  1 H 1.66
I: 0.0320 0.7715 0.0896  1 H 1.66
I: 0.2605 0.2285 0.4104  1 H 1.66
I: 0.2176 0.1900 0.6320  1 H 2.59, 1 Hg 2.66
I: 0.0276 0.8100 0.8680  1 H 2.59, 1 Hg 2.66

As for the space group: C2/c. Its total magnetic moment is 0.000 μB/f.u. The calculation puts the total energy at -1.71 eV/atom.


[2]
Compound: ZrAlBr2
Source: the Alexandria database
Functional: PBE
Structure: optimized geometry

a = 3.3137 Å, b = 5.8007 Å, c = 4.6812 Å
α = 90.00°, β = 90.00°, γ = 90.00°
With the nearest neighbours (Å) after each atom.
Atoms (fractional coordinates):
Br: 0.0000 0.0000 0.0000  4 Zr 2.87
Br: 0.5000 0.5000 0.0000  4 Al 2.87
Zr: 0.5000 0.0000 0.5000  4 Br 2.87
Al: 0.0000 0.5000 0.5000  4 Br 2.87

As for the space group: Pmmm. Its formation energy without anion corrections is -213 meV/atom. Its total magnetic moment is 0.000 μB/f.u. The calculation puts the total energy at -4.12 eV/atom.